No. 1
Density functional theory data (PBE) for crystalline MnSiPt at its relaxed geometry.

The value obtained for the total magnetic moment is 3.42 μB per cell. The value obtained for the uncorrected formation energy is -0.466 eV/atom.

The structure belongs to space group P-6m2 (No. 187); the cell edges are 4.1558, 4.1558 and 2.8762 Å and the angles 90.00°, 90.00° and 120.00°. The inequivalent atoms are Mn at (0.0000, 0.0000, 0.0000), Si at (0.3333, 0.6667, 0.5000) and Pt at (0.6667, 0.3333, 0.5000).

=====

No. 2
Density functional theory data (PBE) for crystalline Tb5Er8Zr at its relaxed geometry.

As for the calculated formation energy: 0.293 eV per atom. The value obtained for the total magnetic moment is 3.36 μB per cell.

The structure belongs to space group I-4 (No. 82); the cell edges are 9.453, 9.453 and 9.846 Å and the angles 90.00°, 90.00° and 90.00°. The inequivalent atoms are Tb at (0.000, 0.000, 0.000), Tb at (0.109, 0.790, 0.583), Er at (0.067, 0.670, 0.916), Er at (0.089, 0.814, 0.251) and Zr at (0.000, 0.500, 0.250).

=====

No. 3
Density functional theory data (PBE) for crystalline CdMo2As at its relaxed geometry.

As for the calculated formation energy: 0.233 eV per atom. The value obtained for the total magnetic moment is 0.00 μB per cell. For the distance to the lowest polymorph of the same formula, the calculation gives 87.6 meV per atom.

The structure belongs to space group Cmm2 (No. 35); the cell edges are 3.306, 4.620 and 9.628 Å and the angles 90.00°, 90.00° and 90.00°. The inequivalent atoms are Cd at (0.000, 0.000, 0.000), Mo at (0.000, 0.000, 0.467), Mo at (0.000, 0.500, 0.251) and As at (0.000, 0.500, 0.682).

=====

No. 4
Density functional theory data (PBE) for crystalline RbTiTlBi2 at its relaxed geometry.

As for the calculated formation energy: -0.115 eV per atom. The value obtained for the total magnetic moment is 0.00 μB per cell.

The structure belongs to space group P4/mmm (No. 123); the cell edges are 5.521, 5.521 and 5.635 Å and the angles 90.00°, 90.00° and 90.00°. The inequivalent atoms are Rb at (0.000, 0.000, 0.000), Ti at (0.500, 0.500, 0.500), Tl at (0.500, 0.500, 0.000) and Bi at (0.000, 0.500, 0.500).

=====

No. 5
Density functional theory data (PBE) for crystalline LaDy2I8 at its relaxed geometry.

The value obtained for the total magnetic moment is 2.34 μB per cell. The value obtained for the uncorrected formation energy is -1.249 eV/atom.

The structure belongs to space group C2/m (No. 12); the cell edges are 15.258, 11.401 and 7.398 Å and the angles 90.00°, 92.33° and 90.00°. The inequivalent atoms are La at (0.000, 0.000, 0.000), Dy at (0.183, 0.000, 0.648), I at (0.083, 0.205, 0.760), I at (0.138, 0.500, 0.233) and I at (0.182, 0.000, 0.248).

=====

No. 6
Density functional theory data (PBE) for crystalline Sr2PrCd at its relaxed geometry.

As for the calculated formation energy: 0.162 eV per atom. The value obtained for the total magnetic moment is 1.96 μB per cell. For the distance to the lowest polymorph of the same formula, the calculation gives 218.6 meV per atom.

The structure belongs to space group R-3m (No. 166, hexagonal axes); the cell edges are 3.8599, 3.8599 and 37.9430 Å and the angles 90.00°, 90.00° and 120.00°. The inequivalent atoms are Sr at (0.0000, 0.0000, 0.0976), Pr at (0.0000, 0.0000, 0.0000) and Cd at (0.0000, 0.0000, 0.5000).

=====

No. 7
Density functional theory data (PBE) for crystalline LiIr2Rh2 at its relaxed geometry.

As for the calculated formation energy: 0.288 eV per atom. The value obtained for the total magnetic moment is 0.00 μB per cell. For the distance to the lowest polymorph of the same formula, the calculation gives 224.7 meV per atom.

The structure belongs to space group C2/m (No. 12); the cell edges are 5.168, 7.445 and 5.283 Å and the angles 90.00°, 119.15° and 90.00°. The inequivalent atoms are Li at (0.000, 0.000, 0.000), Ir at (0.126, 0.500, 0.252) and Rh at (0.000, 0.250, 0.500).

=====

No. 8
Density functional theory data (PBE) for crystalline Tb4Y7Sc at its relaxed geometry.

As for the calculated formation energy: 0.198 eV per atom. The value obtained for the total magnetic moment is 0.92 μB per cell. For the distance to the lowest polymorph of the same formula, the calculation gives 56.8 meV per atom.

The structure belongs to space group C2/m (No. 12); the cell edges are 11.396, 5.319 and 13.088 Å and the angles 90.00°, 104.32° and 90.00°. The inequivalent atoms are Tb at (0.039, 0.000, 0.285), Tb at (0.174, 0.500, 0.765), Y at (0.000, 0.500, 0.500), Y at (0.087, 0.500, 0.130), Y at (0.140, 0.000, 0.964), Y at (0.235, 0.500, 0.397) and Sc at (0.000, 0.000, 0.500).

=====

Question: What is the total magnetic moment in the first record?
Answer: 3.42 μB per cell